[1]
! CeYCoGe | Alexandria | PBE-GGA | relaxed; values from VASP
! Crystal system ... tetragonal
! Formation enthalpy at 0 K ... -0.26 eV/atom
! Space-group type ... P4/nmm
! Magnetization ... 0.0 μB/f.u.
&SYSTEM
  ibrav = 0, nat = 8, ntyp = 4
/
ATOMIC_SPECIES
Ce 140.12 Ce.upf
Y 88.91 Y.upf
Co 58.93 Co.upf
Ge 72.64 Ge.upf
CELL_PARAMETERS angstrom
4.4318 0.0000 0.0000
0.0000 4.4318 0.0000
0.0000 0.0000 9.6650
ATOMIC_POSITIONS angstrom
Ce 1.1079 3.3238 0.0000
Ce 3.3238 1.1079 0.0000
Y 1.1079 1.1079 3.3508
Y 3.3238 3.3238 6.3142
Co 1.1079 1.1079 8.4303
Co 3.3238 3.3238 1.2347
Ge 1.1079 1.1079 6.1747
Ge 3.3238 3.3238 3.4903

=====

[2]
! Ce2ZnCoGe | Alexandria | PBE-GGA | relaxed; values from VASP
! Crystal system ... monoclinic
! Formation enthalpy at 0 K ... -0.39 eV/atom
! Space-group type ... P2_1/m
! Magnetization ... 1.2 μB/f.u.
&SYSTEM
  ibrav = 0, nat = 10, ntyp = 4
/
ATOMIC_SPECIES
Ce 140.12 Ce.upf
Zn 65.41 Zn.upf
Co 58.93 Co.upf
Ge 72.64 Ge.upf
CELL_PARAMETERS angstrom
6.9021 0.0000 0.0000
0.0000 4.3481 0.0000
-2.2750 0.0000 7.0317
ATOMIC_POSITIONS angstrom
Ce 0.1292 1.0870 2.5501
Ce -0.2267 1.0870 6.6685
Ce 4.8538 3.2611 0.3632
Ce 4.4979 3.2611 4.4816
Zn 0.9851 3.2611 4.5718
Zn 3.6421 1.0870 2.4599
Co 0.3413 3.2611 0.4812
Co 4.2859 1.0870 6.5505
Ge 2.2117 3.2611 2.0300
Ge 2.4154 1.0870 5.0017

=====

[3]
! Ce2ZnCo4Ge3 | Alexandria | PBE-GGA | relaxed; values from VASP
! Crystal system ... tetragonal
! Formation enthalpy at 0 K ... -0.49 eV/atom
! Space-group type ... P-4m2
! Magnetization ... 0.0 μB/f.u.
&SYSTEM
  ibrav = 0, nat = 10, ntyp = 4
/
ATOMIC_SPECIES
Ce 140.12 Ce.upf
Zn 65.41 Zn.upf
Co 58.93 Co.upf
Ge 72.64 Ge.upf
CELL_PARAMETERS angstrom
3.9983 0.0000 0.0000
0.0000 3.9983 0.0000
0.0000 0.0000 10.0859
ATOMIC_POSITIONS angstrom
Ce 0.0000 1.9992 2.4662
Ce 1.9992 0.0000 7.6197
Zn 1.9992 1.9992 0.0000
Co 0.0000 0.0000 5.0429
Co 0.0000 1.9992 8.6705
Co 1.9992 0.0000 1.4154
Co 1.9992 1.9992 5.0429
Ge 0.0000 0.0000 0.0000
Ge 0.0000 1.9992 6.3145
Ge 1.9992 0.0000 3.7713